No. 1
The following is a GGA-PBE calculation of a relaxed Li2AlGaAg2Au2 crystal, from OQMD via LeMat-Bulk.

Results
Energy, eV per atom: -3.242

a b c (Å): 4.477 4.477 6.327
angles (deg): 90.00 90.00 90.00
Fractional positions:
Ag1 0.000 0.500 0.251
Ag2 0.500 0.000 0.749
Al1 0.500 0.500 0.500
Au1 0.500 0.000 0.258
Au2 0.000 0.500 0.742
Ga1 0.000 0.000 0.000
Li1 0.500 0.500 0.000
Li2 0.000 0.000 0.500


No. 2
The following is a GGA-PBE calculation of a relaxed ZnH11C15N2O5 crystal, from OQMD via LeMat-Bulk.

Results
Energy, eV per atom: -6.738

a b c (Å): 7.570 8.784 10.609
angles (deg): 79.54 69.98 77.68
Fractional positions:
C1 0.818 0.991 0.001
C2 0.024 0.108 0.073
C3 0.841 0.097 0.075
C4 0.055 0.233 0.138
C5 0.666 0.187 0.164
C6 0.433 0.693 0.228
C7 0.447 0.816 0.288
C8 0.920 0.759 0.296
C9 0.852 0.619 0.352
C10 0.919 0.864 0.380
C11 0.388 0.805 0.429
C12 0.297 0.557 0.437
C13 0.144 0.178 0.481
C14 0.785 0.586 0.493
C15 0.690 0.326 0.495
C16 0.310 0.674 0.505
C17 0.215 0.414 0.507
C18 0.856 0.822 0.519
C19 0.703 0.443 0.563
C20 0.612 0.195 0.571
C21 0.081 0.136 0.620
C22 0.148 0.381 0.648
C23 0.080 0.241 0.704
C24 0.553 0.184 0.712
C25 0.567 0.307 0.772
C26 0.334 0.813 0.836
C27 0.945 0.767 0.862
C28 0.159 0.903 0.925
C29 0.976 0.892 0.927
C30 0.182 0.009 0.999
H1 0.677 0.981 0.000
H2 0.290 0.600 0.011
H3 0.109 0.504 0.070
H4 0.479 0.695 0.118
H5 0.975 0.784 0.187
H6 0.507 0.918 0.227
H7 0.852 0.535 0.287
H8 0.968 0.975 0.339
H9 0.737 0.335 0.385
H10 0.146 0.104 0.409
H11 0.403 0.895 0.481
H12 0.597 0.105 0.519
H13 0.854 0.896 0.591
H14 0.263 0.665 0.615
H15 0.032 0.025 0.661
H16 0.148 0.465 0.713
H17 0.493 0.082 0.773
H18 0.025 0.216 0.813
H19 0.521 0.305 0.882
H20 0.891 0.496 0.930
H21 0.710 0.400 0.989
H22 0.323 0.019 0.000
N1 0.360 0.567 0.301
N2 0.208 0.314 0.427
N3 0.792 0.686 0.573
N4 0.640 0.433 0.699
O1 0.207 0.541 0.092
O2 0.570 0.298 0.103
O3 0.941 0.362 0.141
O4 0.200 0.202 0.179
O5 0.615 0.144 0.288
O6 0.385 0.856 0.712
O7 0.800 0.798 0.821
O8 0.059 0.638 0.859
O9 0.430 0.702 0.897
O10 0.793 0.459 0.908
Zn1 0.310 0.378 0.223
Zn2 0.690 0.622 0.777


No. 3
The following is a GGA-PBE calculation of a relaxed Y2Co3Si5 crystal, from OQMD via LeMat-Bulk.

Results
Relative energy among the computed polymorphs, meV per atom: 0

a b c (Å): 5.485 7.830 7.830
angles (deg): 93.41 109.17 109.17
Fractional positions:
Co1 0.250 0.997 0.003
Co2 0.376 0.542 0.264
Co3 0.124 0.736 0.458
Co4 0.876 0.264 0.542
Co5 0.624 0.458 0.736
Co6 0.750 0.003 0.997
Si1 0.166 0.263 0.066
Si2 0.250 0.788 0.212
Si3 0.750 0.774 0.226
Si4 0.666 0.066 0.263
Si5 0.750 0.511 0.489
Si6 0.250 0.489 0.511
Si7 0.334 0.934 0.737
Si8 0.250 0.226 0.774
Si9 0.750 0.212 0.788
Si10 0.834 0.737 0.934
Y1 0.765 0.404 0.130
Y2 0.265 0.130 0.404
Y3 0.735 0.870 0.596
Y4 0.235 0.596 0.870


No. 4
The following is a GGA-PBE calculation of a relaxed ReSn2 crystal, from OQMD via LeMat-Bulk.

Results
Energy, eV per atom: -5.103

a b c (Å): 5.818 5.818 5.818
angles (deg): 60.00 60.00 60.00
Fractional positions:
Re1 0.000 0.000 0.000
Re2 0.250 0.250 0.250
Sn1 0.625 0.625 0.125
Sn2 0.625 0.125 0.625
Sn3 0.125 0.625 0.625
Sn4 0.625 0.625 0.625


No. 5
The following is a GGA-PBE calculation of a relaxed BaPmAsO crystal, from OQMD via LeMat-Bulk.

Results
Relative energy among the computed polymorphs, meV per atom: 414

a b c (Å): 4.534 4.534 9.683
angles (deg): 90.00 90.00 90.00
Fractional positions:
As1 0.750 0.750 0.270
As2 0.250 0.250 0.730
Ba1 0.750 0.250 0.500
Ba2 0.250 0.750 0.500
O1 0.750 0.250 0.000
O2 0.250 0.750 0.000
Pm1 0.250 0.250 0.088
Pm2 0.750 0.750 0.912


No. 6
The following is a GGA-PBE calculation of a relaxed TaFeCuSn crystal, from OQMD via LeMat-Bulk.

Results
Relative energy among the computed polymorphs, meV per atom: 255

a b c (Å): 4.482 4.482 4.482
angles (deg): 60.00 60.00 60.00
Fractional positions:
Cu1 0.750 0.750 0.750
Fe1 0.500 0.500 0.500
Sn1 0.000 0.000 0.000
Ta1 0.250 0.250 0.250


No. 7
The following is a GGA-PBE calculation of a relaxed NbCdAu crystal, from OQMD via LeMat-Bulk.

Results
Relative energy among the computed polymorphs, meV per atom: 317
DFT formation energy, meV/atom: 539.2

a b c (Å): 4.545 4.545 4.545
angles (deg): 60.00 60.00 60.00
Fractional positions:
Au1 0.000 0.000 0.000
Cd1 0.500 0.500 0.500
Nb1 0.750 0.750 0.750


No. 8
The following is a GGA-PBE calculation of a relaxed TlZnSeF crystal, from OQMD via LeMat-Bulk.

Results
Relative energy among the computed polymorphs, meV per atom: 129

a b c (Å): 11.676 11.676 11.676
angles (deg): 19.89 19.89 19.89
Fractional positions:
F1 0.316 0.316 0.316
F2 0.684 0.684 0.684
Se1 0.075 0.075 0.075
Se2 0.925 0.925 0.925
Tl1 0.204 0.204 0.204
Tl2 0.796 0.796 0.796
Zn1 0.373 0.373 0.373
Zn2 0.627 0.627 0.627


No. 9
The following is a GGA-PBE calculation of a relaxed NbTlNO crystal, from OQMD via LeMat-Bulk.

Results
Relative energy among the computed polymorphs, meV per atom: 14

a b c (Å): 3.609 6.015 6.860
angles (deg): 90.00 90.00 90.00
Fractional positions:
N1 0.000 0.752 0.499
N2 0.000 0.252 0.501
Nb1 0.000 0.500 0.327
Nb2 0.000 0.000 0.673
O1 0.500 0.501 0.207
O2 0.500 0.001 0.793
Tl1 0.500 0.001 0.193
Tl2 0.500 0.501 0.807


No. 10
The following is a GGA-PBE calculation of a relaxed HoPuSn crystal, from OQMD via LeMat-Bulk.

Results
Energy, eV per atom: -7.487

a b c (Å): 5.087 5.087 5.087
angles (deg): 60.00 60.00 60.00
Fractional positions:
Ho1 0.000 0.000 0.000
Pu1 0.750 0.750 0.750
Sn1 0.250 0.250 0.250


No. 11
The following is a GGA-PBE calculation of a relaxed AgH3CN2O crystal, from OQMD via LeMat-Bulk.

Results
Energy, eV per atom: -5.800

a b c (Å): 4.104 14.281 6.130
angles (deg): 90.00 102.69 90.00
Fractional positions:
Ag1 0.860 0.044 0.188
Ag2 0.140 0.544 0.312
Ag3 0.860 0.456 0.688
Ag4 0.140 0.956 0.812
C1 0.501 0.376 0.112
C2 0.499 0.876 0.388
C3 0.501 0.124 0.612
C4 0.499 0.624 0.888
H1 0.829 0.848 0.053
H2 0.929 0.222 0.064
H3 0.295 0.184 0.213
H4 0.705 0.684 0.287
H5 0.071 0.722 0.436
H6 0.171 0.348 0.447
H7 0.829 0.652 0.553
H8 0.929 0.278 0.564
H9 0.295 0.316 0.713
H10 0.705 0.816 0.787
H11 0.071 0.778 0.936
H12 0.171 0.152 0.947
N1 0.090 0.166 0.091
N2 0.376 0.426 0.225
N3 0.624 0.926 0.275
N4 0.910 0.666 0.409
N5 0.090 0.334 0.591
N6 0.376 0.074 0.725
N7 0.624 0.574 0.775
N8 0.910 0.834 0.909
O1 0.372 0.678 0.000
O2 0.628 0.178 0.500
O3 0.372 0.822 0.500
O4 0.628 0.322 0.000


No. 12
The following is a GGA-PBE calculation of a relaxed ErTmPd6 crystal, from OQMD via LeMat-Bulk.

Results
DFT formation energy, meV/atom: -922.2

a b c (Å): 4.086 4.086 8.174
angles (deg): 90.00 90.00 90.00
Fractional positions:
Er1 0.000 0.000 0.500
Pd1 0.500 0.500 0.000
Pd2 0.500 0.000 0.249
Pd3 0.000 0.500 0.249
Pd4 0.500 0.500 0.500
Pd5 0.500 0.000 0.751
Pd6 0.000 0.500 0.751
Tm1 0.000 0.000 0.000


No. 13
The following is a GGA-PBE calculation of a relaxed RbNaNb crystal, from OQMD via LeMat-Bulk.

Results
Energy, eV per atom: -2.457

a b c (Å): 5.678 5.678 5.678
angles (deg): 60.00 60.00 60.00
Fractional positions:
Na1 0.000 0.000 0.000
Nb1 0.250 0.250 0.250
Rb1 0.750 0.750 0.750


No. 14
The following is a GGA-PBE calculation of a relaxed ZnInCuRe crystal, from OQMD via LeMat-Bulk.

Results
Relative energy among the computed polymorphs, meV per atom: 43

a b c (Å): 4.430 4.430 4.430
angles (deg): 60.00 60.00 60.00
Fractional positions:
Cu1 0.750 0.750 0.750
In1 0.000 0.000 0.000
Re1 0.500 0.500 0.500
Zn1 0.250 0.250 0.250


No. 15
The following is a GGA-PBE calculation of a relaxed TaFeSiPt crystal, from OQMD via LeMat-Bulk.

Results
Relative energy among the computed polymorphs, meV per atom: 0

a b c (Å): 4.351 4.351 4.351
angles (deg): 60.00 60.00 60.00
Fractional positions:
Fe1 0.750 0.750 0.750
Pt1 0.250 0.250 0.250
Si1 0.000 0.000 0.000
Ta1 0.500 0.500 0.500


No. 16
The following is a GGA-PBE calculation of a relaxed RbSmCuTe3 crystal, from OQMD via LeMat-Bulk.

Results
Energy, eV per atom: -4.053

a b c (Å): 8.565 8.565 11.554
angles (deg): 90.00 90.00 151.03
Fractional positions:
Cu1 0.034 0.966 0.250
Cu2 0.966 0.034 0.750
Rb1 0.756 0.244 0.250
Rb2 0.244 0.756 0.750
Sm1 0.500 0.500 0.000
Sm2 0.500 0.500 0.500
Te1 0.128 0.872 0.067
Te2 0.436 0.564 0.250
Te3 0.128 0.872 0.433
Te4 0.872 0.128 0.567
Te5 0.564 0.436 0.750
Te6 0.872 0.128 0.933


No. 17
The following is a GGA-PBE calculation of a relaxed CsPdWAu crystal, from OQMD via LeMat-Bulk.

Results
Relative energy among the computed polymorphs, meV per atom: 117

a b c (Å): 4.877 4.877 4.877
angles (deg): 60.00 60.00 60.00
Fractional positions:
Au1 0.750 0.750 0.750
Cs1 0.000 0.000 0.000
Pd1 0.500 0.500 0.500
W1 0.250 0.250 0.250


No. 18
The following is a GGA-PBE calculation of a relaxed Sc4Mo2As3C3 crystal, from OQMD via LeMat-Bulk.

Results
Energy, eV per atom: -8.064

a b c (Å): 5.715 5.715 13.055
angles (deg): 102.34 102.34 60.50
Fractional positions:
As1 0.282 0.414 0.250
As2 0.877 0.123 0.250
As3 0.586 0.718 0.250
As4 0.414 0.282 0.750
As5 0.123 0.877 0.750
As6 0.718 0.586 0.750
C1 0.500 0.000 0.000
C2 0.818 0.341 0.000
C3 0.659 0.182 0.500
C4 0.000 0.500 0.500
C5 0.341 0.818 0.500
C6 0.182 0.659 0.000
Mo1 0.526 0.347 0.081
Mo2 0.653 0.474 0.419
Mo3 0.347 0.526 0.581
Mo4 0.474 0.653 0.919
Sc1 0.191 0.040 0.100
Sc2 0.876 0.699 0.100
Sc3 0.301 0.124 0.400
Sc4 0.960 0.809 0.400
Sc5 0.040 0.191 0.600
Sc6 0.699 0.876 0.600
Sc7 0.124 0.301 0.900
Sc8 0.809 0.960 0.900


No. 19
The following is a GGA-PBE calculation of a relaxed LaNdCo2Ge2C crystal, from OQMD via LeMat-Bulk.

Results
Energy, eV per atom: -6.621

a b c (Å): 5.907 5.907 7.120
angles (deg): 126.06 126.06 40.25
Fractional positions:
C1 0.000 0.000 0.002
Co1 0.185 0.185 0.075
Co2 0.815 0.815 0.925
Ge1 0.824 0.824 0.270
Ge2 0.176 0.176 0.730
La1 0.440 0.440 0.700
Nd1 0.559 0.559 0.298


No. 20
The following is a GGA-PBE calculation of a relaxed LiFe2Hg crystal, from OQMD via LeMat-Bulk.

Results
Energy, eV per atom: -4.465

a b c (Å): 4.282 4.282 4.282
angles (deg): 60.00 60.00 60.00
Fractional positions:
Fe1 0.000 0.000 0.000
Fe2 0.750 0.750 0.750
Hg1 0.250 0.250 0.250
Li1 0.500 0.500 0.500


No. 21
The following is a GGA-PBE calculation of a relaxed HoScAl6 crystal, from OQMD via LeMat-Bulk.

Results
Energy, eV per atom: -4.571

a b c (Å): 6.081 6.081 4.628
angles (deg): 90.00 90.00 120.00
Fractional positions:
Al1 0.024 0.512 0.000
Al2 0.488 0.512 0.000
Al3 0.488 0.976 0.000
Al4 0.184 0.367 0.500
Al5 0.184 0.816 0.500
Al6 0.633 0.816 0.500
Ho1 0.000 0.000 0.000
Sc1 0.667 0.333 0.500